[1]
Material: BaTa2Se
Method: DFT, PBE-GGA
State: optimized geometry

Unit cell a=6.2919 b=6.2919 c=6.2919 alpha=150.10 beta=119.94 gamma=68.53
Fractional coordinates of all 4 atoms:
Ba1 0.0000 0.0000 0.0000
Ta1 0.3226 0.8226 0.5000
Ta2 0.5312 0.5312 0.0000
Se1 0.7252 0.2252 0.5000

Computed properties:
For the density of states at the Fermi level, the calculation gives 4.109 states/eV/cell. As for the uncorrected formation energy: 0.554 eV per atom.

[2]
Material: BaTaSe
Method: DFT, PBE-GGA
State: optimized geometry

Unit cell a=5.4308 b=5.4308 c=5.4308 alpha=60.00 beta=60.00 gamma=60.00
Fractional coordinates of all 3 atoms:
Ba1 0.0000 0.0000 0.0000
Ta1 0.7500 0.7500 0.7500
Se1 0.2500 0.2500 0.2500

Computed properties:
For the density of states at the Fermi level, the calculation gives 3.049 states/eV/cell. As for the uncorrected formation energy: 1.218 eV per atom. The offset from the most stable computed form is 4.051 eV/f.u.

[3]
Material: Ba3TaSe
Method: DFT, PBE-GGA
State: optimized geometry

Unit cell a=6.2149 b=6.2149 c=6.2149 alpha=90.00 beta=90.00 gamma=90.00
Fractional coordinates of all 5 atoms:
Ba1 0.0000 0.0000 0.5000
Ba2 0.0000 0.5000 0.0000
Ba3 0.5000 0.0000 0.0000
Ta1 0.5000 0.5000 0.5000
Se1 0.0000 0.0000 0.0000

Computed properties:
For the density of states at the Fermi level, the calculation gives 5.811 states/eV/cell. As for the uncorrected formation energy: 0.249 eV per atom. The offset from the most stable computed form is 0.000 eV/f.u.

[4]
Material: BaTa2Se
Method: DFT, PBE-GGA
State: optimized geometry

Unit cell a=3.3830 b=4.9671 c=5.7928 alpha=90.00 beta=90.00 gamma=90.00
Fractional coordinates of all 4 atoms:
Ba1 0.0000 0.0000 0.0000
Ta1 0.0000 0.5000 0.5000
Ta2 0.5000 0.0000 0.5000
Se1 0.5000 0.5000 0.0000

Computed properties:
For the density of states at the Fermi level, the calculation gives 5.080 states/eV/cell. As for the uncorrected formation energy: 0.697 eV per atom.

[5]
Material: Ba3Ta2Se9
Method: DFT, PBE-GGA
State: optimized geometry

Unit cell a=9.2942 b=9.2942 c=9.2942 alpha=82.12 beta=82.12 gamma=82.12
Fractional coordinates of all 28 atoms:
Ba1 0.0789 0.7500 0.4211
Ba2 0.2500 0.5789 0.9211
Ba3 0.4211 0.0789 0.7500
Ba4 0.5789 0.9211 0.2500
Ba5 0.7500 0.4211 0.0789
Ba6 0.9211 0.2500 0.5789
Ta1 0.1522 0.1522 0.1522
Ta2 0.3478 0.3478 0.3478
Ta3 0.6522 0.6522 0.6522
Ta4 0.8478 0.8478 0.8478
Se1 0.0809 0.2583 0.9091
Se2 0.0826 0.4174 0.2500
Se3 0.0909 0.9191 0.7417
Se4 0.2417 0.4191 0.5909
Se5 0.2500 0.0826 0.4174
Se6 0.2583 0.9091 0.0809
Se7 0.4091 0.7583 0.5809
Se8 0.4174 0.2500 0.0826
Se9 0.4191 0.5909 0.2417
Se10 0.5809 0.4091 0.7583
Se11 0.5826 0.7500 0.9174
Se12 0.5909 0.2417 0.4191
Se13 0.7417 0.0909 0.9191
Se14 0.7500 0.9174 0.5826
Se15 0.7583 0.5809 0.4091
Se16 0.9091 0.0809 0.2583
Se17 0.9174 0.5826 0.7500
Se18 0.9191 0.7417 0.0909

Computed properties:
For the density of states at the Fermi level, the calculation gives 25.338 states/eV/cell. As for the uncorrected formation energy: -1.181 eV per atom.

[6]
Material: Ba3TaSe6
Method: DFT, PBE-GGA
State: optimized geometry

Unit cell a=7.5841 b=8.0924 c=13.0203 alpha=90.00 beta=123.62 gamma=90.00
Fractional coordinates of all 20 atoms:
Ba1 0.0000 0.0000 0.0000
Ba2 0.0000 0.5000 0.5000
Ba3 0.2888 0.0851 0.7553
Ba4 0.2888 0.4149 0.2553
Ba5 0.7112 0.5851 0.7447
Ba6 0.7112 0.9149 0.2447
Ta1 0.5000 0.0000 0.5000
Ta2 0.5000 0.5000 0.0000
Se1 0.1634 0.0344 0.2821
Se2 0.1634 0.4656 0.7821
Se3 0.2800 0.6727 0.0577
Se4 0.2800 0.8273 0.5577
Se5 0.4016 0.2267 0.0652
Se6 0.4016 0.2733 0.5652
Se7 0.5984 0.7267 0.4348
Se8 0.5984 0.7733 0.9348
Se9 0.7200 0.1727 0.4423
Se10 0.7200 0.3273 0.9423
Se11 0.8366 0.5344 0.2179
Se12 0.8366 0.9656 0.7179

Computed properties:
For the density of states at the Fermi level, the calculation gives 25.502 states/eV/cell. As for the uncorrected formation energy: -1.361 eV per atom.

[7]
Material: Ba2TaSe
Method: DFT, PBE-GGA
State: optimized geometry

Unit cell a=4.3085 b=4.3085 c=9.5936 alpha=102.88 beta=102.88 gamma=59.81
Fractional coordinates of all 4 atoms:
Ba1 0.2404 0.2404 0.2219
Ba2 0.7596 0.7596 0.7781
Ta1 0.0000 0.0000 0.5000
Se1 0.5000 0.5000 0.0000

Computed properties:
For the density of states at the Fermi level, the calculation gives 3.474 states/eV/cell. As for the uncorrected formation energy: 0.157 eV per atom.

[8]
Material: Ba2TaSe
Method: DFT, PBE-GGA
State: optimized geometry

Unit cell a=3.5989 b=3.5989 c=9.9606 alpha=90.00 beta=90.00 gamma=90.00
Fractional coordinates of all 4 atoms:
Ba1 0.0000 0.0000 0.0000
Ba2 0.5000 0.5000 0.4013
Ta1 0.5000 0.5000 0.7486
Se1 0.0000 0.0000 0.6463

Computed properties:
For the density of states at the Fermi level, the calculation gives 3.189 states/eV/cell. As for the uncorrected formation energy: -0.006 eV per atom.

[9]
Material: BaTa2Se
Method: DFT, PBE-GGA
State: optimized geometry

Unit cell a=5.2110 b=5.2110 c=5.2110 alpha=124.80 beta=124.80 gamma=81.86
Fractional coordinates of all 4 atoms:
Ba1 0.0000 0.0000 0.0000
Ta1 0.5000 0.5000 0.0000
Ta2 0.7500 0.2500 0.5000
Se1 0.2500 0.7500 0.5000

Computed properties:
For the density of states at the Fermi level, the calculation gives 4.667 states/eV/cell. As for the uncorrected formation energy: 0.798 eV per atom.

[10]
Material: BaTa2Se
Method: DFT, PBE-GGA
State: optimized geometry

Unit cell a=6.0219 b=6.0219 c=3.0406 alpha=90.00 beta=90.00 gamma=120.32
Fractional coordinates of all 4 atoms:
Ba1 0.0000 0.0000 0.0000
Ta1 0.0000 0.5000 0.5000
Ta2 0.5000 0.0000 0.5000
Se1 0.5000 0.5000 0.0000

Computed properties:
For the density of states at the Fermi level, the calculation gives 5.099 states/eV/cell. As for the uncorrected formation energy: 1.065 eV per atom.

[11]
Material: BaTa2Se
Method: DFT, PBE-GGA
State: optimized geometry

Unit cell a=4.2320 b=4.2320 c=5.4967 alpha=90.00 beta=90.00 gamma=90.00
Fractional coordinates of all 4 atoms:
Ba1 0.0000 0.0000 0.0000
Ta1 0.0000 0.5000 0.5000
Ta2 0.5000 0.0000 0.5000
Se1 0.5000 0.5000 0.0000

Computed properties:
For the density of states at the Fermi level, the calculation gives 5.530 states/eV/cell. As for the uncorrected formation energy: 0.803 eV per atom.

[12]
Material: BaTa3Se
Method: DFT, PBE-GGA
State: optimized geometry

Unit cell a=4.9535 b=4.9535 c=4.9535 alpha=90.00 beta=90.00 gamma=90.00
Fractional coordinates of all 5 atoms:
Ba1 0.0000 0.0000 0.0000
Ta1 0.0000 0.5000 0.5000
Ta2 0.5000 0.0000 0.5000
Ta3 0.5000 0.5000 0.0000
Se1 0.5000 0.5000 0.5000

Computed properties:
For the density of states at the Fermi level, the calculation gives 7.820 states/eV/cell. As for the uncorrected formation energy: 1.012 eV per atom. The offset from the most stable computed form is 0.000 eV/f.u.

[13]
Material: BaTa2Se
Method: DFT, PBE-GGA
State: optimized geometry

Unit cell a=10.1061 b=10.1061 c=10.1061 alpha=18.59 beta=18.59 gamma=18.59
Fractional coordinates of all 4 atoms:
Ba1 0.0000 0.0000 0.0000
Ta1 0.2312 0.2312 0.2312
Ta2 0.7688 0.7688 0.7688
Se1 0.5000 0.5000 0.5000

Computed properties:
For the density of states at the Fermi level, the calculation gives 5.769 states/eV/cell. As for the uncorrected formation energy: 0.618 eV per atom.

[14]
Material: BaTa2Se
Method: DFT, PBE-GGA
State: optimized geometry

Unit cell a=3.9912 b=4.9942 c=5.0674 alpha=90.00 beta=97.13 gamma=90.00
Fractional coordinates of all 4 atoms:
Ba1 0.0000 0.0000 0.0000
Ta1 0.3196 0.5000 0.6840
Ta2 0.6804 0.5000 0.3160
Se1 0.5000 0.0000 0.5000

Computed properties:
For the density of states at the Fermi level, the calculation gives 3.601 states/eV/cell. As for the uncorrected formation energy: 0.509 eV per atom.

[15]
Material: BaTa2Se
Method: DFT, PBE-GGA
State: optimized geometry

Unit cell a=6.0933 b=6.0933 c=3.7282 alpha=107.39 beta=107.39 gamma=121.37
Fractional coordinates of all 4 atoms:
Ba1 0.0000 0.0000 0.0000
Ta1 0.0000 0.5000 0.5000
Ta2 0.5000 0.0000 0.5000
Se1 0.5000 0.5000 0.0000

Computed properties:
For the density of states at the Fermi level, the calculation gives 3.677 states/eV/cell. As for the uncorrected formation energy: 0.626 eV per atom.

[16]
Material: Ba2TaSe
Method: DFT, PBE-GGA
State: optimized geometry

Unit cell a=4.5060 b=5.0310 c=6.8486 alpha=90.00 beta=90.00 gamma=90.00
Fractional coordinates of all 4 atoms:
Ba1 0.0000 0.0000 0.0000
Ba2 0.5000 0.5000 0.5000
Ta1 0.0000 0.0000 0.5000
Se1 0.5000 0.5000 0.0000

Computed properties:
For the density of states at the Fermi level, the calculation gives 2.313 states/eV/cell. As for the uncorrected formation energy: 0.275 eV per atom.

[17]
Material: BaTa2Se
Method: DFT, PBE-GGA
State: optimized geometry

Unit cell a=3.2179 b=3.2179 c=9.0445 alpha=90.00 beta=90.00 gamma=90.00
Fractional coordinates of all 4 atoms:
Ba1 0.0000 0.0000 0.0000
Ta1 0.5000 0.5000 0.3310
Ta2 0.5000 0.5000 0.6690
Se1 0.0000 0.0000 0.5000

Computed properties:
For the density of states at the Fermi level, the calculation gives 3.769 states/eV/cell. As for the uncorrected formation energy: 0.549 eV per atom.

[18]
Material: Ba2TaSe
Method: DFT, PBE-GGA
State: optimized geometry

Unit cell a=6.8637 b=6.8637 c=6.8637 alpha=149.01 beta=129.61 gamma=60.35
Fractional coordinates of all 4 atoms:
Ba1 0.0000 0.0000 0.0000
Ba2 0.6863 0.1863 0.5000
Ta1 0.4070 0.4070 0.0000
Se1 0.2499 0.7499 0.5000

Computed properties:
For the density of states at the Fermi level, the calculation gives 4.964 states/eV/cell. As for the uncorrected formation energy: 0.014 eV per atom.

[19]
Material: BaTaSe
Method: DFT, PBE-GGA
State: optimized geometry

Unit cell a=3.6030 b=3.6030 c=7.1061 alpha=90.00 beta=90.00 gamma=120.00
Fractional coordinates of all 3 atoms:
Ba1 0.0000 0.0000 0.0000
Ta1 0.6667 0.3333 0.5938
Se1 0.3333 0.6667 0.3687

Computed properties:
For the density of states at the Fermi level, the calculation gives 1.328 states/eV/cell. As for the uncorrected formation energy: -0.025 eV per atom. The offset from the most stable computed form is 0.323 eV/f.u.

[20]
Material: BaTa2Se6
Method: DFT, PBE-GGA
State: optimized geometry

Unit cell a=6.7935 b=6.7935 c=6.9395 alpha=90.00 beta=90.00 gamma=120.00
Fractional coordinates of all 9 atoms:
Ba1 0.0000 0.0000 0.0000
Ta1 0.3333 0.6667 0.5000
Ta2 0.6667 0.3333 0.5000
Se1 0.0000 0.4039 0.7237
Se2 0.0000 0.5961 0.2763
Se3 0.4039 0.0000 0.7237
Se4 0.4039 0.4039 0.2763
Se5 0.5961 0.0000 0.2763
Se6 0.5961 0.5961 0.7237

Computed properties:
As for the uncorrected formation energy: -0.954 eV per atom.

[21]
Material: Ba2TaSe4
Method: DFT, PBE-GGA
State: optimized geometry

Unit cell a=7.5246 b=7.0844 c=9.1065 alpha=90.00 beta=107.77 gamma=90.00
Fractional coordinates of all 14 atoms:
Ba1 0.2275 0.2500 0.4297
Ba2 0.2695 0.2500 0.9459
Ba3 0.7305 0.7500 0.0541
Ba4 0.7725 0.7500 0.5703
Ta1 0.2727 0.7500 0.2009
Ta2 0.7273 0.2500 0.7991
Se1 0.0832 0.7500 0.3775
Se2 0.1053 0.7500 0.9245
Se3 0.4967 0.5055 0.7374
Se4 0.4967 0.9945 0.7374
Se5 0.5033 0.0055 0.2626
Se6 0.5033 0.4945 0.2626
Se7 0.8947 0.2500 0.0755
Se8 0.9168 0.2500 0.6225

Computed properties:
For the density of states at the Fermi level, the calculation gives 8.563 states/eV/cell. As for the uncorrected formation energy: -1.399 eV per atom.

[22]
Material: Ba2TaSe
Method: DFT, PBE-GGA
State: optimized geometry

Unit cell a=5.6574 b=5.6574 c=5.6574 alpha=60.00 beta=60.00 gamma=60.00
Fractional coordinates of all 4 atoms:
Ba1 0.0000 0.0000 0.0000
Ba2 0.2500 0.2500 0.2500
Ta1 0.5000 0.5000 0.5000
Se1 0.7500 0.7500 0.7500

Computed properties:
For the density of states at the Fermi level, the calculation gives 3.585 states/eV/cell. As for the uncorrected formation energy: 0.553 eV per atom.

[23]
Material: BaTa4Se
Method: DFT, PBE-GGA
State: optimized geometry

Unit cell a=5.8109 b=5.8109 c=5.8109 alpha=60.00 beta=60.00 gamma=60.00
Fractional coordinates of all 6 atoms:
Ba1 0.0000 0.0000 0.0000
Ta1 0.3688 0.3688 0.3688
Ta2 0.3688 0.3688 0.8935
Ta3 0.3688 0.8935 0.3688
Ta4 0.8935 0.3688 0.3688
Se1 0.7500 0.7500 0.7500

Computed properties:
For the density of states at the Fermi level, the calculation gives 9.193 states/eV/cell. As for the uncorrected formation energy: 0.880 eV per atom.

[24]
Material: BaTa3Se
Method: DFT, PBE-GGA
State: optimized geometry

Unit cell a=5.1138 b=5.1138 c=5.1138 alpha=90.00 beta=90.00 gamma=90.00
Fractional coordinates of all 5 atoms:
Ba1 0.0000 0.0000 0.0000
Ta1 0.0000 0.0000 0.5000
Ta2 0.0000 0.5000 0.0000
Ta3 0.5000 0.0000 0.0000
Se1 0.5000 0.5000 0.5000

Computed properties:
For the density of states at the Fermi level, the calculation gives 7.982 states/eV/cell. As for the uncorrected formation energy: 3.014 eV per atom. The offset from the most stable computed form is 10.011 eV/f.u.

[25]
Material: Ba2TaSe
Method: DFT, PBE-GGA
State: optimized geometry

Unit cell a=6.9533 b=6.9533 c=6.9533 alpha=139.94 beta=139.94 gamma=57.94
Fractional coordinates of all 4 atoms:
Ba1 0.0000 0.0000 0.0000
Ba2 0.7500 0.2500 0.5000
Ta1 0.5000 0.5000 0.0000
Se1 0.2500 0.7500 0.5000

Computed properties:
For the density of states at the Fermi level, the calculation gives 5.473 states/eV/cell. As for the uncorrected formation energy: 0.363 eV per atom.

[26]
Material: BaTa2Se
Method: DFT, PBE-GGA
State: optimized geometry

Unit cell a=10.2046 b=10.2046 c=10.2046 alpha=152.03 beta=152.03 gamma=39.97
Fractional coordinates of all 8 atoms:
Ba1 0.0000 0.0000 0.0000
Ba2 0.7500 0.2500 0.5000
Ta1 0.3244 0.6250 0.1994
Ta2 0.3750 0.5744 0.6994
Ta3 0.4256 0.1250 0.8006
Ta4 0.8750 0.6756 0.3006
Se1 0.2500 0.7500 0.5000
Se2 0.5000 0.5000 0.0000

Computed properties:
For the density of states at the Fermi level, the calculation gives 6.822 states/eV/cell. As for the uncorrected formation energy: 0.542 eV per atom.

[27]
Material: Ba2TaSe
Method: DFT, PBE-GGA
State: optimized geometry

Unit cell a=6.5063 b=6.5063 c=5.8764 alpha=109.02 beta=109.02 gamma=32.42
Fractional coordinates of all 4 atoms:
Ba1 0.0000 0.0000 0.0000
Ba2 0.1901 0.1901 0.6386
Ta1 0.4072 0.4072 0.4142
Se1 0.7610 0.7610 0.1694

Computed properties:
For the density of states at the Fermi level, the calculation gives 4.682 states/eV/cell. As for the uncorrected formation energy: -0.022 eV per atom.